Compound: NpMoPdO6
Source: the Alexandria database
Functional: PBE+U
Structure: optimized geometry

Lattice parameters (Å, degrees): 5.462 5.462 9.298 90.00 90.00 120.00
Each line ends with the local moment (μB).
Fractional coordinates of all 18 atoms:
Np  0.667  0.333  0.250  1.45
Np  0.333  0.667  0.750  1.45
Mo  0.333  0.667  0.250  1.07
Mo  0.667  0.333  0.750  1.07
Pd  0.000  0.000  0.000  -0.95
Pd  0.000  0.000  0.500  -0.95
O  0.639  0.649  0.136  -0.10
O  0.011  0.361  0.136  -0.10
O  0.361  0.011  0.636  -0.10
O  0.989  0.639  0.864  -0.10
O  0.351  0.361  0.364  -0.10
O  0.011  0.649  0.364  -0.10
O  0.649  0.011  0.864  -0.10
O  0.639  0.989  0.364  -0.10
O  0.989  0.351  0.636  -0.10
O  0.351  0.989  0.136  -0.10
O  0.649  0.639  0.636  -0.10
O  0.361  0.351  0.864  -0.10

Space group: P-31c, No. 163
Calculated total energy in eV for the cell shown: -140.97